# 1
# YIn2Br

A relaxed YIn2Br crystal (PBE, Alexandria via LeMat-Bulk).

a = 14.5761 Å, b = 3.4762 Å, c = 4.7938 Å
α = 90.00°, β = 109.13°, γ = 90.00°
With the nearest neighbours (Å) after each atom.
Sites, in units of the cell vectors:
Y (0.0000, 0.0000, 0.0000)  4 Br 2.96
Y (0.5000, 0.5000, 0.0000)  4 Br 2.96
In (0.2076, 0.5000, 0.2077)  6 In 3.18-3.48, 2 Y 3.35
In (0.2924, 0.0000, 0.7923)  6 In 3.18-3.48, 2 Y 3.35
In (0.7076, 0.0000, 0.2077)  6 In 3.18-3.48, 2 Y 3.35
In (0.7924, 0.5000, 0.7923)  6 In 3.18-3.48, 2 Y 3.35
Br (0.0000, 0.5000, 0.5000)  4 Y 2.96
Br (0.5000, 0.0000, 0.5000)  4 Y 2.96

## Properties
Energy above the most stable polymorph in this dataset ... 103.0 meV/atom
Space group ... C2/m

***

# 2
# Y2InBr

A relaxed Y2InBr crystal (PBE, Alexandria via LeMat-Bulk).

a = 3.5789 Å, b = 4.9683 Å, c = 12.7108 Å
α = 90.00°, β = 90.00°, γ = 90.00°
With the nearest neighbours (Å) after each atom.
Sites, in units of the cell vectors:
Y (0.0000, 0.0000, 0.0000)  2 Br 2.98, 4 In 3.15
Y (0.0000, 0.5000, 0.2599)  4 Br 3.20, 2 In 3.39, 4 Y 3.54-3.58
Y (0.5000, 0.0000, 0.7599)  4 Br 3.20, 2 In 3.39, 4 Y 3.54-3.58
Y (0.5000, 0.5000, 0.5000)  2 Br 2.98, 4 In 3.15
In (0.0000, 0.0000, 0.4412)  6 Y 3.15-3.39
In (0.5000, 0.5000, 0.9412)  6 Y 3.15-3.39
Br (0.0000, 0.5000, 0.6870)  6 Y 2.98-3.20
Br (0.5000, 0.0000, 0.1870)  6 Y 2.98-3.20

## Properties
Energy above the most stable polymorph in this dataset ... 137.0 meV/atom
Space group ... Imm2

***

# 3
# YIn2Br

A relaxed YIn2Br crystal (PBE, Alexandria via LeMat-Bulk).

a = 4.2984 Å, b = 4.2984 Å, c = 11.3065 Å
α = 90.00°, β = 90.00°, γ = 90.00°
With the nearest neighbours (Å) after each atom.
Sites, in units of the cell vectors:
Y (0.0000, 0.0000, 0.0000)  4 Br 3.04
Y (0.5000, 0.5000, 0.5000)  4 Br 3.04
In (0.0000, 0.5000, 0.2500)  4 In 3.04
In (0.0000, 0.5000, 0.7500)  4 In 3.04
In (0.5000, 0.0000, 0.2500)  4 In 3.04
In (0.5000, 0.0000, 0.7500)  4 In 3.04
Br (0.0000, 0.0000, 0.5000)  4 Y 3.04
Br (0.5000, 0.5000, 0.0000)  4 Y 3.04

## Properties
Energy above the most stable polymorph in this dataset ... 164.5 meV/atom
Space group ... I4/mmm

***

# 4
# YInBr

A relaxed YInBr crystal (PBE, Alexandria via LeMat-Bulk).

a = 7.0765 Å, b = 7.0765 Å, c = 7.0765 Å
α = 90.00°, β = 90.00°, γ = 90.00°
With the nearest neighbours (Å) after each atom.
Sites, in units of the cell vectors:
Y (0.0000, 0.0000, 0.0000)  4 Br 3.06
Y (0.0000, 0.5000, 0.5000)  4 Br 3.06
Y (0.5000, 0.0000, 0.5000)  4 Br 3.06
Y (0.5000, 0.5000, 0.0000)  4 Br 3.06
In (0.0000, 0.0000, 0.5000)  4 Br 3.06
In (0.0000, 0.5000, 0.0000)  4 Br 3.06
In (0.5000, 0.0000, 0.0000)  4 Br 3.06
In (0.5000, 0.5000, 0.5000)  4 Br 3.06
Br (0.2500, 0.2500, 0.2500)  4 In 3.06, 4 Y 3.06
Br (0.2500, 0.7500, 0.7500)  4 In 3.06, 4 Y 3.06
Br (0.7500, 0.2500, 0.7500)  4 In 3.06, 4 Y 3.06
Br (0.7500, 0.7500, 0.2500)  4 In 3.06, 4 Y 3.06

## Properties
Space group ... F-43m

***

# 5
# YInBr

A relaxed YInBr crystal (PBE, Alexandria via LeMat-Bulk).

a = 5.0151 Å, b = 5.0151 Å, c = 3.8534 Å
α = 90.00°, β = 90.00°, γ = 120.00°
With the nearest neighbours (Å) after each atom.
Sites, in units of the cell vectors:
Y (0.0000, 0.0000, 0.0000)  3 Br 2.90
In (0.3333, 0.6667, 0.5000)  6 Y 3.48, 6 Br 3.48, 2 In 3.85
Br (0.6667, 0.3333, 0.0000)  3 Y 2.90

## Properties
Space group ... P-6m2

***

# 6
# YInBr

A relaxed YInBr crystal (PBE, Alexandria via LeMat-Bulk).

a = 3.6922 Å, b = 3.6922 Å, c = 7.9349 Å
α = 90.00°, β = 90.00°, γ = 120.00°
With the nearest neighbours (Å) after each atom.
Sites, in units of the cell vectors:
Y (0.0000, 0.0000, 0.0000)  3 Br 2.90, 3 In 3.21
In (0.6667, 0.3333, 0.6968)  3 Y 3.21
Br (0.3333, 0.6667, 0.2475)  3 Y 2.90

## Properties
Space group ... P3m1

***

# 7
# Y2InBr

A relaxed Y2InBr crystal (PBE, Alexandria via LeMat-Bulk).

a = 3.6902 Å, b = 3.6902 Å, c = 32.0073 Å
α = 90.00°, β = 90.00°, γ = 120.00°
With the nearest neighbours (Å) after each atom.
Sites, in units of the cell vectors:
Y (0.0000, 0.0000, 0.0000)  3 Br 2.92
Y (0.0000, 0.0000, 0.2442)  3 In 3.28, 3 Y 3.56
Y (0.3333, 0.6667, 0.6667)  3 Br 2.92
Y (0.3333, 0.6667, 0.9108)  3 In 3.28, 3 Y 3.56
Y (0.6667, 0.3333, 0.3333)  3 Br 2.92
Y (0.6667, 0.3333, 0.5775)  3 In 3.28, 3 Y 3.56
In (0.0000, 0.0000, 0.4997)  3 Y 3.28
In (0.3333, 0.6667, 0.1664)  3 Y 3.28
In (0.6667, 0.3333, 0.8331)  3 Y 3.28
Br (0.0000, 0.0000, 0.7292)  3 Y 2.92
Br (0.3333, 0.6667, 0.3958)  3 Y 2.92
Br (0.6667, 0.3333, 0.0625)  3 Y 2.92

## Properties
Energy above the most stable polymorph in this dataset ... 193.5 meV/atom
Space group ... R3m

***

# 8
# YIn2Br

A relaxed YIn2Br crystal (PBE, Alexandria via LeMat-Bulk).

a = 7.4904 Å, b = 7.4904 Å, c = 7.4904 Å
α = 90.00°, β = 90.00°, γ = 90.00°
With the nearest neighbours (Å) after each atom.
Sites, in units of the cell vectors:
Y (0.0000, 0.0000, 0.0000)  4 In 3.24, 4 Br 3.24
Y (0.0000, 0.5000, 0.5000)  4 In 3.24, 4 Br 3.24
Y (0.5000, 0.0000, 0.5000)  4 In 3.24, 4 Br 3.24
Y (0.5000, 0.5000, 0.0000)  4 In 3.24, 4 Br 3.24
In (0.0000, 0.0000, 0.5000)  4 In 3.24, 4 Br 3.24
In (0.0000, 0.5000, 0.0000)  4 In 3.24, 4 Br 3.24
In (0.2500, 0.2500, 0.2500)  4 In 3.24, 4 Y 3.24
In (0.2500, 0.7500, 0.7500)  4 In 3.24, 4 Y 3.24
In (0.5000, 0.0000, 0.0000)  4 In 3.24, 4 Br 3.24
In (0.5000, 0.5000, 0.5000)  4 In 3.24, 4 Br 3.24
In (0.7500, 0.2500, 0.7500)  4 In 3.24, 4 Y 3.24
In (0.7500, 0.7500, 0.2500)  4 In 3.24, 4 Y 3.24
Br (0.2500, 0.2500, 0.7500)  4 Y 3.24, 4 In 3.24
Br (0.2500, 0.7500, 0.2500)  4 Y 3.24, 4 In 3.24
Br (0.7500, 0.2500, 0.2500)  4 Y 3.24, 4 In 3.24
Br (0.7500, 0.7500, 0.7500)  4 In 3.24, 4 Y 3.24

## Properties
Energy above the most stable polymorph in this dataset ... 215.7 meV/atom
Space group ... F-43m

***

Number 1: E_form (uncorrected) -0.49 eV per atom. Number 2: E_form (uncorrected) -0.61 eV per atom. Number 3: E_form (uncorrected) -0.43 eV per atom. Number 4: E_form (uncorrected) -0.19 eV per atom. Number 5: E_form (uncorrected) -0.57 eV per atom. Number 6: E_form (uncorrected) -0.76 eV per atom. Number 7: E_form (uncorrected) -0.55 eV per atom. Number 8: E_form (uncorrected) -0.38 eV per atom.